Entry 1:
VASP calculation (PBE) on LaScMn2 after structural relaxation.

Computed properties:
Crystal system   tetragonal
ΔE_f   0.58 eV per atom
Magnetic moment   9.21 μB per cell

Cell and atoms, written as POSCAR:
```
LaScMn2
1.0
-1.114 -7.472 0.072
6.707 -1.032 -3.320
4.101 -4.420 1.065
Sc Mn La
2 4 2
Cartesian
2.797 -4.252 -1.624
6.803 -4.852 -1.939
1.182 -5.808 -0.105
5.064 -2.780 -1.799
5.259 -6.517 -0.461
7.885 -10.743 -2.000
0.000 0.000 0.000
2.892 -8.072 -0.243
```


Entry 2:
VASP calculation (PBE) on NaTbGdAl after structural relaxation.

Computed properties:
Crystal system   cubic
ΔE_f   -0.05 eV per atom
Magnetic moment   7.61 μB per cell

Cell and atoms, written as POSCAR:
```
NaTbGdAl
1.0
5.310 0.000 0.000
2.655 4.599 0.000
2.655 1.533 4.336
Na Gd Tb Al
1 1 1 1
Cartesian
7.965 4.599 3.252
0.000 0.000 0.000
5.310 3.066 2.168
2.655 1.533 1.084
```


Entry 3:
VASP calculation (PBE) on K2InTe2 after structural relaxation.

Computed properties:
Formation energy (no corrections)   -0.606 eV/atom
Crystal system   tetragonal
Magnetic moment   0.00 μB per cell
E above lowest polymorph   175 meV per atom

Cell and atoms, written as POSCAR:
```
K2InTe2
1.0
-7.556 1.754 -3.920
3.673 -1.471 -7.738
-1.285 -4.842 0.310
K Te In
4 4 2
Cartesian
0.673 -3.118 -5.278
-2.254 -2.582 -9.031
-5.841 -1.440 -6.070
-2.914 -1.977 -2.317
0.593 -0.645 -7.604
-3.702 0.439 -8.475
-4.476 0.928 -4.055
-0.181 -0.156 -3.183
0.000 0.000 0.000
-1.941 0.142 -5.829
```


Entry 4:
VASP calculation (PBE) on Zr2V2Co after structural relaxation.

Computed properties:
Crystal system   tetragonal
ΔE_f   0.35 eV per atom
Magnetic moment   0.00 μB per cell
E above lowest polymorph   244 meV per atom

Cell and atoms, written as POSCAR:
```
Zr2V2Co
1.0
3.279 0.000 0.000
0.000 3.279 0.000
1.640 1.640 8.135
Co Zr V
1 2 2
Cartesian
0.000 0.000 0.000
1.640 1.640 1.557
3.279 3.279 6.578
3.279 1.640 4.067
1.640 3.279 4.067
```


Entry 5:
VASP calculation (PBE) on Cs4Rb2Na after structural relaxation.

Computed properties:
Crystal system   tetragonal
ΔE_f   0.01 eV per atom
Magnetic moment   0.00 μB per cell
E above lowest polymorph   0 meV per atom

Cell and atoms, written as POSCAR:
```
Cs4Rb2Na
1.0
-1.547 3.316 7.375
-13.194 2.003 0.928
-2.194 -9.987 8.626
Cs Rb Na
8 4 2
Cartesian
-5.419 2.154 7.085
-11.515 -6.822 9.843
-13.816 1.795 10.080
-6.531 -6.961 10.950
-14.386 -2.878 12.062
-3.118 -6.463 6.848
-10.403 2.292 5.977
-2.548 -1.791 4.866
-10.914 -2.266 7.920
-7.414 -1.698 3.804
-6.020 -2.402 9.007
-9.520 -2.970 13.124
-1.160 2.487 5.531
-0.387 0.829 1.844
```


Entry 6:
VASP calculation (PBE) on PmY2Zn after structural relaxation.

Computed properties:
Crystal system   trigonal
ΔE_f   -0.07 eV per atom
Magnetic moment   0.00 μB per cell
E above lowest polymorph   104 meV per atom

Cell and atoms, written as POSCAR:
```
PmY2Zn
1.0
3.644 0.000 0.000
1.822 3.156 0.000
1.822 1.052 10.278
Pm Y Zn
1 2 1
Cartesian
3.644 2.104 5.122
1.822 1.052 8.113
1.822 1.052 2.169
3.644 2.104 0.013
```


Entry 7:
VASP calculation (PBE) on SrReAs2Br after structural relaxation.

Computed properties:
Formation energy (no corrections)   1.481 eV/atom
Crystal system   tetragonal
Magnetic moment   3.52 μB per cell
E above lowest polymorph   1722 meV per atom

Cell and atoms, written as POSCAR:
```
SrReAs2Br
1.0
-0.394 -1.865 5.494
-4.367 -3.530 -1.511
3.683 -4.077 -1.120
Re As Br Sr
1 2 1 1
Cartesian
-0.539 -4.736 1.432
-2.184 -1.765 -0.756
-0.197 -0.932 2.747
1.841 -2.039 -0.560
0.000 0.000 0.000
```


Entry 8:
VASP calculation (PBE) on Sr2TlAs2 after structural relaxation.

Computed properties:
Crystal system   tetragonal
ΔE_f   -0.65 eV per atom
Magnetic moment   0.00 μB per cell
E above lowest polymorph   167 meV per atom

Cell and atoms, written as POSCAR:
```
Sr2TlAs2
1.0
-1.917 -8.599 2.105
8.808 -2.068 -0.426
0.354 0.784 3.526
Sr Tl As
4 2 4
Cartesian
6.909 -4.911 0.397
3.951 -8.741 1.546
-0.018 -5.756 1.281
2.940 -1.926 0.133
0.000 0.000 0.000
3.446 -5.333 0.839
5.715 -2.397 1.826
6.262 -7.050 2.806
1.530 -7.485 3.378
0.984 -2.833 2.399
```


no.,DOS at the Fermi energy (states/eV/f.u.)
1,6.01
2,2.86
3,3.95
4,5.19
5,7.18
6,5.01
7,3.78
8,1.06